Sr5Ga2I | PBE-GGA | optimized geometry

```
Sr5Ga2I
1.0
-8.843 -0.734 -1.699
1.451 -7.893 -4.149
2.766 0.806 9.267
Sr Ga I
10 4 2
Direct
0.020 0.520 0.730
0.710 0.210 0.730
0.000 0.000 0.000
0.790 0.980 0.270
0.980 0.480 0.270
0.480 0.290 0.270
0.290 0.790 0.270
0.210 0.020 0.730
0.500 0.500 0.000
0.520 0.710 0.730
0.134 0.366 0.000
0.366 0.866 0.000
0.634 0.134 0.000
0.866 0.634 0.000
0.250 0.250 0.500
0.750 0.750 0.500
```

Summary:
Raw total energy: -40.48 eV for the cell shown
Space group: I4/mcm, No. 140
Formation energy without anion corrections: -0.528 eV per atom